[1]
TbPr2Nd2Tm, relaxed, DFT PBE; energy of formation from the pure elements = 0.356 eV/f.u.; total magnetization = 0.00 μB/f.u.
1.0
-3.744 1.352 4.146
-4.246 -5.305 -2.105
4.659 -6.200 6.228
Tb Pr Nd Tm
2 4 4 2
direct
0.500 0.258 0.658 Tb
0.500 0.758 0.342 Tb
0.500 0.008 0.000 Pr
0.000 0.258 0.178 Pr
0.500 0.508 0.000 Pr
0.000 0.758 0.822 Pr
0.000 0.258 0.836 Nd
0.500 0.258 0.332 Nd
0.000 0.758 0.164 Nd
0.500 0.758 0.668 Nd
0.000 0.008 0.500 Tm
0.000 0.508 0.500 Tm


[2]
Tb2Pr4NdTm2, relaxed, DFT PBE; energy of formation from the pure elements = 0.189 eV/f.u.; total magnetization = 0.00 μB/f.u.
1.0
-3.440 -2.838 -2.521
3.247 -4.545 5.889
-5.993 4.318 3.317
Tb Pr Nd Tm
2 4 1 2
direct
0.888 0.777 0.331 Tb
0.112 0.223 0.669 Tb
0.777 0.554 0.670 Pr
0.223 0.446 0.330 Pr
0.554 0.108 0.331 Pr
0.446 0.892 0.669 Pr
0.000 0.000 0.000 Nd
0.331 0.663 0.001 Tm
0.669 0.337 0.999 Tm


[3]
Tb2Pr2Nd4Tm, relaxed, DFT PBE; energy of formation from the pure elements = 0.094 eV/f.u.; total magnetization = 0.00 μB/f.u.
1.0
3.680 0.000 0.000
-1.840 9.490 -0.517
0.000 -3.719 9.023
Tb Pr Nd Tm
2 2 4 1
direct
0.853 0.705 0.334 Tb
0.147 0.295 0.666 Tb
0.335 0.670 0.002 Pr
0.665 0.330 0.998 Pr
0.814 0.628 0.667 Nd
0.186 0.372 0.333 Nd
0.518 0.036 0.332 Nd
0.482 0.964 0.668 Nd
0.000 0.000 0.000 Tm


[4]
Tb5Pr2NdTm, relaxed, DFT PBE; energy of formation from the pure elements = 2.419 eV/f.u.; total magnetization = 0.00 μB/f.u.
1.0
-3.810 -0.057 -7.862
-7.848 -0.500 3.806
5.401 8.142 2.178
Tb Pr Nd Tm
10 4 2 2
direct
0.928 0.428 0.279 Tb
0.649 0.149 0.721 Tb
0.072 0.572 0.721 Tb
0.149 0.072 0.721 Tb
0.572 0.649 0.721 Tb
0.851 0.928 0.279 Tb
0.428 0.351 0.279 Tb
0.351 0.851 0.279 Tb
0.500 0.500 0.000 Tb
0.000 0.000 0.000 Tb
0.118 0.382 0.000 Pr
0.618 0.118 0.000 Pr
0.382 0.882 0.000 Pr
0.882 0.618 0.000 Pr
0.250 0.250 0.500 Nd
0.750 0.750 0.500 Nd
0.250 0.750 0.500 Tm
0.750 0.250 0.500 Tm


[5]
TbPrNdTm, relaxed, DFT PBE; energy of formation from the pure elements = 0.058 eV/f.u.; energy above the most stable polymorph in this dataset = 0 kJ/mol of formula units; total magnetization = 0.00 μB/f.u.
1.0
-0.576 -3.413 -1.081
3.235 1.549 -0.531
3.581 -3.905 10.420
Tb Pr Nd Tm
1 1 1 1
direct
0.333 0.667 0.920 Tb
0.000 0.000 0.430 Pr
0.667 0.333 0.169 Nd
0.667 0.333 0.680 Tm


[6]
Tb6PrNd2Tm3, relaxed, DFT PBE; energy of formation from the pure elements = 0.249 eV/f.u.; total magnetization = 0.00 μB/f.u.
1.0
6.196 0.001 0.010
-3.096 5.367 0.010
-1.049 -1.816 11.651
Tb Pr Nd Tm
6 1 2 3
direct
0.914 0.580 0.744 Tb
0.753 0.753 0.256 Tb
0.086 0.420 0.256 Tb
0.580 0.914 0.744 Tb
0.247 0.247 0.744 Tb
0.420 0.086 0.256 Tb
0.000 0.000 0.000 Pr
0.333 0.667 0.000 Nd
0.667 0.333 0.000 Nd
0.167 0.833 0.500 Tm
0.833 0.167 0.500 Tm
0.500 0.500 0.500 Tm


What is the energy of formation from the pure elements in the first record?
0.356 eV/f.u.


What did the fifth record say?
TbPrNdTm, relaxed, DFT PBE; energy of formation from the pure elements = 0.058 eV/f.u.; energy above the most stable polymorph in this dataset = 0 kJ/mol of formula units; total magnetization = 0.00 μB/f.u.
1.0
-0.576 -3.413 -1.081
3.235 1.549 -0.531
3.581 -3.905 10.420
Tb Pr Nd Tm
1 1 1 1
direct
0.333 0.667 0.920 Tb
0.000 0.000 0.430 Pr
0.667 0.333 0.169 Nd
0.667 0.333 0.680 Tm


total magnetization of number 6 (Tb6PrNd2Tm3)?
0.00 μB/f.u.


Look up the energy of formation from the pure elements of the fifth one.
0.058 eV/f.u.